This record from the Alexandria database describes crystalline NdMn4O8 at its relaxed geometry. The functional is PBE+U.

- energy above the lowest structure with this stoichiometry (meV per atom) = 28
- uncorrected energy (eV for the cell shown) = -293.07
- spin magnetization (μB/cell) = 45.0

a = 6.0718 Å, b = 6.0718 Å, c = 17.0850 Å
α = 90.00°, β = 90.00°, γ = 120.00°
Space group R-3m (No. 166, hexagonal axes)
Symmetry-distinct sites (fractional):
Nd  0.0000  0.0000  0.0000 [3 per cell]
Mn  0.0000  0.0000  0.5000 [3 per cell]
Mn  0.0000  0.5000  0.5000 [9 per cell]
O  0.0000  0.0000  0.2267 [6 per cell]
O  0.0291  0.5146  0.7721 [18 per cell]